Compound: AcGaSi
Source: Alexandria via LeMat-Bulk
Functional: PBE-GGA
Structure: optimized geometry

**DFT total energy**: -4.809 eV/atom
**D(E_F)**: 3.4 states/eV per cell
**Magnetic moment**: 0.00 μB/atom
**ΔE_f (raw)**: -0.623 eV per atom
**Energy above the most stable polymorph in this dataset**: 0.000 eV/atom

Lattice parameters (Å, degrees): 4.267 7.365 9.373 90.00 90.00 90.00
Space group Immm (No. 71)
Asymmetric unit:
Ac  0.000  0.000  0.247 x4
Ga  0.000  0.331  0.000 x4
Si  0.000  0.338  0.500 x4